{"formula": "Mn2AgHPd", "functional": "GGA-PBE", "state": "relaxed", "spacegroup": "P4/mmm, No. 123", "dft_energy_ev_per_atom": -5.875, "rho_g_cm3": 8.32, "dos_at_fermi_per_ev_fu": 2.59, "lattice_angstrom": [[4.111, 0.000, 0.000], [0.000, 4.111, 0.000], [0.000, 0.000, 3.839]], "species": ["Mn", "Mn", "Ag", "H", "Pd"], "fractional_positions": [[0.000, 0.500, 0.000], [0.500, 0.000, 0.000], [0.000, 0.000, 0.500], [0.500, 0.500, 0.000], [0.500, 0.500, 0.500]]}



{"formula": "TlZnOs2", "functional": "GGA-PBE", "state": "relaxed", "spacegroup": "I-42d, No. 122", "dft_energy_ev_per_atom": -5.682, "rho_g_cm3": 14.01, "dos_at_fermi_per_ev_fu": 1.30, "formation_enthalpy_0k_ev_per_atom": 0.84, "lattice_angstrom": [[4.055, 0.000, 0.000], [0.000, 4.055, 0.000], [0.000, 0.000, 18.751]], "species": ["Tl", "Tl", "Tl", "Tl", "Zn", "Zn", "Zn", "Zn", "Os", "Os", "Os", "Os", "Os", "Os", "Os", "Os"], "fractional_positions": [[0.000, 0.000, 0.000], [0.000, 0.500, 0.250], [0.500, 0.000, 0.750], [0.500, 0.500, 0.500], [0.000, 0.000, 0.500], [0.000, 0.500, 0.750], [0.500, 0.000, 0.250], [0.500, 0.500, 0.000], [0.154, 0.250, 0.625], [0.250, 0.654, 0.875], [0.250, 0.846, 0.375], [0.346, 0.250, 0.125], [0.654, 0.750, 0.125], [0.750, 0.154, 0.375], [0.750, 0.346, 0.875], [0.846, 0.750, 0.625]]}



{"formula": "K2NaGaGe2", "functional": "GGA-PBE", "state": "relaxed", "spacegroup": "Pmc2_1, No. 26", "dft_energy_ev_per_atom": -2.641, "rho_g_cm3": 2.99, "dos_at_fermi_per_ev_fu": 1.26, "formation_enthalpy_0k_ev_per_atom": -0.01, "lattice_angstrom": [[4.697, 0.000, 0.000], [0.000, 8.489, 0.000], [0.000, 0.000, 8.806]], "species": ["K", "K", "K", "K", "Na", "Na", "Ga", "Ga", "Ge", "Ge", "Ge", "Ge"], "fractional_positions": [[0.000, 0.154, 0.000], [0.000, 0.846, 0.500], [0.500, 0.161, 0.368], [0.500, 0.839, 0.868], [0.000, 0.453, 0.325], [0.000, 0.547, 0.825], [0.500, 0.322, 0.767], [0.500, 0.678, 0.267], [0.000, 0.274, 0.621], [0.000, 0.726, 0.121], [0.500, 0.446, 0.055], [0.500, 0.554, 0.555]]}



{"formula": "TlRe3I", "functional": "GGA-PBE", "state": "relaxed", "spacegroup": "Pm-3m, No. 221", "dft_energy_ev_per_atom": -5.462, "rho_g_cm3": 12.62, "dos_at_fermi_per_ev_fu": 4.31, "lattice_angstrom": [[4.892, 0.000, 0.000], [0.000, 4.892, 0.000], [0.000, 0.000, 4.892]], "species": ["Tl", "Re", "Re", "Re", "I"], "fractional_positions": [[0.000, 0.000, 0.000], [0.000, 0.500, 0.500], [0.500, 0.000, 0.500], [0.500, 0.500, 0.000], [0.500, 0.500, 0.500]]}



{"formula": "ZrNb", "functional": "GGA-PBE", "state": "relaxed", "spacegroup": "P2_12_12_1, No. 19", "dft_energy_ev_per_atom": -9.157, "rho_g_cm3": 7.40, "dos_at_fermi_per_ev_fu": 2.98, "formation_enthalpy_0k_ev_per_atom": 0.15, "lattice_angstrom": [[5.318, 0.000, 0.000], [0.000, 6.015, 0.000], [0.000, 0.000, 10.338]], "species": ["Zr", "Zr", "Zr", "Zr", "Zr", "Zr", "Zr", "Zr", "Nb", "Nb", "Nb", "Nb", "Nb", "Nb", "Nb", "Nb"], "fractional_positions": [[0.014, 0.002, 0.250], [0.247, 0.626, 0.000], [0.253, 0.374, 0.500], [0.486, 0.998, 0.750], [0.514, 0.498, 0.750], [0.747, 0.874, 0.000], [0.753, 0.126, 0.500], [0.986, 0.502, 0.250], [0.000, 0.247, 0.761], [0.000, 0.747, 0.739], [0.248, 0.137, 0.000], [0.252, 0.863, 0.500], [0.500, 0.253, 0.239], [0.500, 0.753, 0.261], [0.748, 0.363, 0.000], [0.752, 0.637, 0.500]]}



{"formula": "AcPmCoAu", "functional": "GGA-PBE", "state": "relaxed", "spacegroup": "F-43m, No. 216", "dft_energy_ev_per_atom": -5.058, "rho_g_cm3": 10.34, "dos_at_fermi_per_ev_fu": 4.51, "formation_enthalpy_0k_ev_per_atom": -0.25, "lattice_angstrom": [[7.389, 0.000, 0.000], [0.000, 7.389, 0.000], [0.000, 0.000, 7.389]], "species": ["Ac", "Ac", "Ac", "Ac", "Pm", "Pm", "Pm", "Pm", "Co", "Co", "Co", "Co", "Au", "Au", "Au", "Au"], "fractional_positions": [[0.000, 0.000, 0.000], [0.000, 0.500, 0.500], [0.500, 0.000, 0.500], [0.500, 0.500, 0.000], [0.000, 0.000, 0.500], [0.000, 0.500, 0.000], [0.500, 0.000, 0.000], [0.500, 0.500, 0.500], [0.250, 0.250, 0.750], [0.250, 0.750, 0.250], [0.750, 0.250, 0.250], [0.750, 0.750, 0.750], [0.250, 0.250, 0.250], [0.250, 0.750, 0.750], [0.750, 0.250, 0.750], [0.750, 0.750, 0.250]]}



{"formula": "InBRh2Br", "functional": "GGA-PBE", "state": "relaxed", "spacegroup": "P4/mmm, No. 123", "dft_energy_ev_per_atom": -4.747, "rho_g_cm3": 8.14, "dos_at_fermi_per_ev_fu": 3.76, "lattice_angstrom": [[4.228, 0.000, 0.000], [0.000, 4.228, 0.000], [0.000, 0.000, 4.692]], "species": ["In", "B", "Rh", "Rh", "Br"], "fractional_positions": [[0.000, 0.000, 0.000], [0.500, 0.500, 0.500], [0.000, 0.500, 0.500], [0.500, 0.000, 0.500], [0.500, 0.500, 0.000]]}



{"formula": "Ta2InB", "functional": "GGA-PBE", "state": "relaxed", "spacegroup": "I-42d, No. 122", "dft_energy_ev_per_atom": -7.906, "rho_g_cm3": 12.08, "dos_at_fermi_per_ev_fu": 0.31, "formation_enthalpy_0k_ev_per_atom": 0.37, "lattice_angstrom": [[6.918, 0.000, 0.000], [0.000, 6.918, 0.000], [0.000, 0.000, 5.603]], "species": ["Ta", "Ta", "Ta", "Ta", "Ta", "Ta", "Ta", "Ta", "In", "In", "In", "In", "B", "B", "B", "B"], "fractional_positions": [[0.194, 0.250, 0.125], [0.250, 0.694, 0.375], [0.250, 0.806, 0.875], [0.306, 0.250, 0.625], [0.694, 0.750, 0.625], [0.750, 0.194, 0.875], [0.750, 0.306, 0.375], [0.806, 0.750, 0.125], [0.000, 0.000, 0.500], [0.000, 0.500, 0.750], [0.500, 0.000, 0.250], [0.500, 0.500, 0.000], [0.000, 0.000, 0.000], [0.000, 0.500, 0.250], [0.500, 0.000, 0.750], [0.500, 0.500, 0.500]]}



{"formula": "CsSr3Cl", "functional": "GGA-PBE", "state": "relaxed", "spacegroup": "Pm-3m, No. 221", "dft_energy_ev_per_atom": -1.018, "rho_g_cm3": 1.28, "dos_at_fermi_per_ev_fu": 1.84, "lattice_angstrom": [[8.250, 0.000, 0.000], [0.000, 8.250, 0.000], [0.000, 0.000, 8.250]], "species": ["Cs", "Sr", "Sr", "Sr", "Cl"], "fractional_positions": [[0.000, 0.000, 0.000], [0.000, 0.000, 0.500], [0.000, 0.500, 0.000], [0.500, 0.000, 0.000], [0.500, 0.500, 0.500]]}



{"formula": "Zr2ScSe", "functional": "GGA-PBE", "state": "relaxed", "spacegroup": "R3m, No. 160", "dft_energy_ev_per_atom": -7.268, "rho_g_cm3": 5.63, "dos_at_fermi_per_ev_fu": 4.18, "lattice_angstrom": [[3.446, 0.000, 0.000], [-1.723, 2.984, 0.000], [0.000, 0.000, 26.369]], "species": ["Zr", "Zr", "Zr", "Zr", "Zr", "Zr", "Sc", "Sc", "Sc", "Se", "Se", "Se"], "fractional_positions": [[0.000, 0.000, 0.000], [0.000, 0.000, 0.187], [0.333, 0.667, 0.667], [0.333, 0.667, 0.854], [0.667, 0.333, 0.333], [0.667, 0.333, 0.520], [0.000, 0.000, 0.761], [0.333, 0.667, 0.428], [0.667, 0.333, 0.094], [0.000, 0.000, 0.593], [0.333, 0.667, 0.260], [0.667, 0.333, 0.927]]}



{"formula": "NdPuIrPd", "functional": "GGA-PBE", "state": "relaxed", "spacegroup": "F-43m, No. 216", "dft_energy_ev_per_atom": -8.827, "rho_g_cm3": 13.01, "dos_at_fermi_per_ev_fu": 11.30, "formation_enthalpy_0k_ev_per_atom": -0.54, "lattice_angstrom": [[7.052, 0.000, 0.000], [0.000, 7.052, 0.000], [0.000, 0.000, 7.052]], "species": ["Nd", "Nd", "Nd", "Nd", "Pu", "Pu", "Pu", "Pu", "Ir", "Ir", "Ir", "Ir", "Pd", "Pd", "Pd", "Pd"], "fractional_positions": [[0.000, 0.000, 0.000], [0.000, 0.500, 0.500], [0.500, 0.000, 0.500], [0.500, 0.500, 0.000], [0.000, 0.000, 0.500], [0.000, 0.500, 0.000], [0.500, 0.000, 0.000], [0.500, 0.500, 0.500], [0.250, 0.250, 0.250], [0.250, 0.750, 0.750], [0.750, 0.250, 0.750], [0.750, 0.750, 0.250], [0.250, 0.250, 0.750], [0.250, 0.750, 0.250], [0.750, 0.250, 0.250], [0.750, 0.750, 0.750]]}



{"formula": "LiNi2Cl", "functional": "GGA-PBE", "state": "relaxed", "spacegroup": "Amm2, No. 38", "dft_energy_ev_per_atom": -4.036, "rho_g_cm3": 4.66, "dos_at_fermi_per_ev_fu": 5.51, "lattice_angstrom": [[3.037, 0.000, 0.000], [0.000, 3.150, 0.000], [0.000, 0.000, 11.905]], "species": ["Li", "Li", "Ni", "Ni", "Ni", "Ni", "Cl", "Cl"], "fractional_positions": [[0.000, 0.000, 0.000], [0.000, 0.500, 0.500], [0.000, 0.000, 0.771], [0.000, 0.500, 0.271], [0.500, 0.000, 0.354], [0.500, 0.500, 0.854], [0.500, 0.000, 0.576], [0.500, 0.500, 0.076]]}



{"formula": "LiMoBr2", "functional": "GGA-PBE", "state": "relaxed", "spacegroup": "P4/mmm, No. 123", "dft_energy_ev_per_atom": -3.916, "rho_g_cm3": 5.61, "dos_at_fermi_per_ev_fu": 2.63, "lattice_angstrom": [[4.840, 0.000, 0.000], [0.000, 4.840, 0.000], [0.000, 0.000, 3.318]], "species": ["Li", "Mo", "Br", "Br"], "fractional_positions": [[0.000, 0.000, 0.000], [0.500, 0.500, 0.000], [0.000, 0.500, 0.500], [0.500, 0.000, 0.500]]}